Record 1
A relaxed Cs2LiCaF6 crystal. Source: Alexandria, functional PBE.

The relative energy among the computed polymorphs comes out at 0.013 eV/atom. Its theoretical density is 4.02 g cm⁻³.

a b c (Å): 6.2967 6.2967 6.2967
angles (deg): 120.08 120.08 89.87
Last column: nearest neighbours and their distance in Å.
Fractional positions:
1 Cs 0.2500 0.7500 0.5000  12 F 3.15
2 Cs 0.7500 0.2500 0.5000  12 F 3.15
3 Li 0.0000 0.0000 0.0000  6 F 2.16-2.17
4 Ca 0.5000 0.5000 0.0000  6 F 2.28
5 F 0.2433 0.2433 0.4867  1 Li 2.16, 1 Ca 2.28
6 F 0.2433 0.7567 0.0000  1 Li 2.16, 1 Ca 2.28
7 F 0.2439 0.2439 0.0000  1 Li 2.17, 1 Ca 2.28
8 F 0.7561 0.7561 0.0000  1 Li 2.17, 1 Ca 2.28
9 F 0.7567 0.2433 0.0000  1 Li 2.16, 1 Ca 2.28
10 F 0.7567 0.7567 0.5133  1 Li 2.16, 1 Ca 2.28

---

Record 2
A relaxed Cs3CaMg2F9 crystal. Source: Alexandria, functional PBE.

Its theoretical density is 4.44 g cm⁻³.

a b c (Å): 6.1427 6.1427 7.5359
angles (deg): 90.00 90.00 120.00
Last column: nearest neighbours and their distance in Å.
Fractional positions:
1 Cs 0.0000 0.0000 0.0000  12 F 3.05-3.07
2 Cs 0.3333 0.6667 0.6682  12 F 3.07-3.12
3 Cs 0.6667 0.3333 0.3318  12 F 3.07-3.12
4 Ca 0.0000 0.0000 0.5000  6 F 2.32
5 Mg 0.3333 0.6667 0.1593  6 F 2.06-2.14
6 Mg 0.6667 0.3333 0.8407  6 F 2.06-2.14
7 F 0.0000 0.5000 0.0000  2 Mg 2.14
8 F 0.1762 0.3524 0.3193  1 Mg 2.06
9 F 0.1762 0.8238 0.3193  1 Mg 2.06
10 F 0.3524 0.1762 0.6807  1 Mg 2.06
11 F 0.5000 0.0000 0.0000  2 Mg 2.14
12 F 0.5000 0.5000 0.0000  2 Mg 2.14
13 F 0.6476 0.8238 0.3193  1 Mg 2.06
14 F 0.8238 0.1762 0.6807  1 Mg 2.06
15 F 0.8238 0.6476 0.6807  1 Mg 2.06

---

Quick rundown of total DFT energy (no corrections), same order as above: -4.51; -4.93 eV per atom
Quick rundown of formation energy (no corrections), same order as above: -2.82; -3.29 eV/atom